[1]
A plane-wave DFT calculation with PBEsol was carried out for KLiY2Mo after structural relaxation.

```
5
Lattice="5.220 0.000 0.000 0.000 5.220 0.000 0.000 0.000 6.346" Properties=species:S:1:pos:R:3 pbc="T T T"
K 0.000 0.000 0.000
Li 2.610 2.610 0.000
Y 0.000 2.610 3.173
Y 2.610 0.000 3.173
Mo 0.000 0.000 3.173
```

- Crystal system: tetragonal
- E: -4.86 eV/atom
- ΔH_f (0 K): 843 meV per atom
- Theoretical density: 3.07 g cm⁻³
- DOS at the Fermi energy: 0.984 states/eV/atom

=====

[2]
A plane-wave DFT calculation with PBEsol was carried out for KLiN3 after structural relaxation.

```
5
Lattice="4.969 0.000 0.000 0.000 4.969 0.000 0.000 0.000 4.969" Properties=species:S:1:pos:R:3 pbc="T T T"
K 0.000 0.000 0.000
Li 2.485 2.485 2.485
N 0.000 0.000 2.485
N 0.000 2.485 0.000
N 2.485 0.000 0.000
```

- Crystal system: cubic
- E_form (uncorrected): 2.52 eV/atom
- E: -3.22 eV/atom
- Theoretical density: 1.19 g cm⁻³
- DOS at the Fermi energy: 0.602 states/eV/atom

=====

[3]
A plane-wave DFT calculation with PBEsol was carried out for KLi3N after structural relaxation.

```
5
Lattice="4.276 0.000 0.000 0.000 4.276 0.000 0.000 0.000 4.276" Properties=species:S:1:pos:R:3 pbc="T T T"
K 0.000 0.000 0.000
Li 0.000 2.138 2.138
Li 2.138 0.000 2.138
Li 2.138 2.138 0.000
N 2.138 2.138 2.138
```

- Crystal system: cubic
- E_form (uncorrected): 0.00 eV/atom
- E: -3.11 eV/atom
- Theoretical density: 1.57 g cm⁻³
- DOS at the Fermi energy: 0.366 states/eV/atom

=====

[4]
A plane-wave DFT calculation with PBEsol was carried out for KLi2NiN after structural relaxation.

```
5
Lattice="4.806 0.000 0.000 0.000 4.806 0.000 0.000 0.000 3.523" Properties=species:S:1:pos:R:3 pbc="T T T"
K 0.000 0.000 0.000
Li 0.000 2.403 1.761
Li 2.403 0.000 1.761
Ni 2.403 2.403 1.761
N 2.403 2.403 0.000
```

- Crystal system: tetragonal
- E_form (uncorrected): 0.15 eV/atom
- E: -3.80 eV/atom
- Theoretical density: 2.56 g cm⁻³
- DOS at the Fermi energy: 0.463 states/eV/atom